Entry 1:
Density functional theory data (GGA-PBE) for B4Se after structural relaxation.

a b c (Å): 4.0234 4.0234 4.0234
angles (deg): 90.00 90.00 90.00
Last column: nearest neighbours and their distance in Å.
Positions (direct):
B: 0.0000 0.0000 0.0000  12 B 2.84
B: 0.0000 0.5000 0.5000  2 Se 2.01
B: 0.5000 0.0000 0.5000  2 Se 2.01
B: 0.5000 0.5000 0.0000  2 Se 2.01
Se: 0.5000 0.5000 0.5000  6 B 2.01

total moment = 0.0000 μB per atom
energy = -3.250 eV per atom
uncorrected formation energy = 2.7889 eV per atom
crystal system = cubic

---

Entry 2:
Density functional theory data (GGA-PBE) for HoSbTe after structural relaxation.

a b c (Å): 9.8049 9.8049 9.8049
angles (deg): 154.91 154.91 35.79
Last column: nearest neighbours and their distance in Å.
Positions (direct):
Ho: 0.1392 0.1392 0.0000  5 Te 3.15-3.20, 4 Sb 3.36
Ho: 0.8608 0.8608 0.0000  5 Te 3.15-3.20, 4 Sb 3.36
Sb: 0.0000 0.5000 0.5000  4 Sb 3.01, 4 Ho 3.36
Sb: 0.5000 0.0000 0.5000  4 Sb 3.01, 4 Ho 3.36
Te: 0.3109 0.3109 0.0000  5 Ho 3.15-3.20
Te: 0.6891 0.6891 0.0000  5 Ho 3.15-3.20

total moment = 0.0000 μB per atom
energy = -4.988 eV per atom
uncorrected formation energy = -1.0404 eV per atom
crystal system = tetragonal

---

Entry 3:
Density functional theory data (GGA-PBE) for YAsF2 after structural relaxation.

a b c (Å): 8.3962 8.3962 8.3962
angles (deg): 150.87 150.87 41.66
Last column: nearest neighbours and their distance in Å.
Positions (direct):
Y: 0.0000 0.0000 0.0000  4 F 2.36
Y: 0.7500 0.2500 0.5000  4 F 2.36
As: 0.2500 0.7500 0.5000  4 F 2.60
As: 0.5000 0.5000 0.0000  4 F 2.60
F: 0.0581 0.6250 0.9331  2 Y 2.36, 2 As 2.60, 2 F 2.62
F: 0.3750 0.3081 0.4331  2 Y 2.36, 2 As 2.60, 2 F 2.62
F: 0.6919 0.1250 0.0669  2 Y 2.36, 2 As 2.60, 2 F 2.62
F: 0.8750 0.9419 0.5669  2 Y 2.36, 2 As 2.60, 2 F 2.62

total moment = 0.0000 μB per atom
energy = -5.908 eV per atom
uncorrected formation energy = -2.1941 eV per atom
crystal system = tetragonal

---

Entry 4:
Density functional theory data (GGA-PBE) for LiNd2PtO5 after structural relaxation.

a b c (Å): 6.8171 6.8171 5.8315
angles (deg): 90.00 90.00 90.00
Last column: nearest neighbours and their distance in Å.
Positions (direct):
Li: 0.0000 0.0000 0.0000  10 O 2.92-3.03
Li: 0.5000 0.5000 0.0000  10 O 2.92-3.03
Nd: 0.1768 0.3232 0.5000  4 O 2.31-2.51
Nd: 0.3232 0.8232 0.5000  4 O 2.31-2.51
Nd: 0.6768 0.1768 0.5000  4 O 2.31-2.51
Nd: 0.8232 0.6768 0.5000  4 O 2.31-2.51
Pt: 0.0000 0.5000 0.0000  4 O 1.97
Pt: 0.5000 0.0000 0.0000  4 O 1.97
O: 0.0000 0.0000 0.5000  4 Nd 2.51
O: 0.1360 0.6360 0.2528  1 Pt 1.97
O: 0.1360 0.6360 0.7472  1 Pt 1.97
O: 0.3640 0.1360 0.2528  1 Pt 1.97
O: 0.3640 0.1360 0.7472  1 Pt 1.97
O: 0.5000 0.5000 0.5000  4 Nd 2.51
O: 0.6360 0.8640 0.2528  1 Pt 1.97
O: 0.6360 0.8640 0.7472  1 Pt 1.97
O: 0.8640 0.3640 0.2528  1 Pt 1.97
O: 0.8640 0.3640 0.7472  1 Pt 1.97

total moment = 0.1118 μB per atom
energy = -6.845 eV per atom
uncorrected formation energy = -2.1466 eV per atom
crystal system = tetragonal

---

Entry 5:
Density functional theory data (GGA-PBE) for CaGdLu2 after structural relaxation.

a b c (Å): 5.0845 5.0845 5.0560
angles (deg): 90.00 90.00 90.00
Last column: nearest neighbours and their distance in Å.
Positions (direct):
Ca: 0.0000 0.0000 0.0000  8 Lu 3.59, 4 Gd 3.60
Gd: 0.5000 0.5000 0.0000  8 Lu 3.59, 4 Ca 3.60
Lu: 0.0000 0.5000 0.5000  4 Gd 3.59, 4 Ca 3.59, 4 Lu 3.60
Lu: 0.5000 0.0000 0.5000  4 Gd 3.59, 4 Ca 3.59, 4 Lu 3.60

total moment = 2.1900 μB per atom
energy = -6.128 eV per atom
calculated formation energy = 0.15 eV/atom
crystal system = tetragonal

---

Entry 6:
Density functional theory data (GGA-PBE) for CaRuW2 after structural relaxation.

a b c (Å): 4.5583 4.5583 4.5583
angles (deg): 60.00 60.00 60.00
Last column: nearest neighbours and their distance in Å.
Positions (direct):
Ca: 0.0000 0.0000 0.0000  8 W 2.79
Ru: 0.5000 0.5000 0.5000  8 W 2.79
W: 0.2500 0.2500 0.2500  4 Ca 2.79, 4 Ru 2.79
W: 0.7500 0.7500 0.7500  4 Ru 2.79, 4 Ca 2.79

total moment = 0.0000 μB per atom
energy = -8.409 eV per atom
calculated formation energy = 0.89 eV/atom
crystal system = cubic

---

Entry 7:
Density functional theory data (GGA-PBE) for CuH2Pd9Pb3 after structural relaxation.

a b c (Å): 5.6931 5.6931 8.6162
angles (deg): 90.00 90.00 120.00
Last column: nearest neighbours and their distance in Å.
Positions (direct):
Cu: 0.0000 0.0000 0.0000  6 Pd 2.53
H: 0.3333 0.6667 0.6192  6 Pd 1.94-2.13
H: 0.6667 0.3333 0.3808  6 Pd 1.94-2.13
Pd: 0.0000 0.5000 0.5000  2 H 1.94
Pd: 0.1693 0.3386 0.7796  1 H 2.13
Pd: 0.1693 0.8307 0.7796  1 H 2.13
Pd: 0.3386 0.1693 0.2204  1 H 2.13
Pd: 0.5000 0.0000 0.5000  2 H 1.94
Pd: 0.5000 0.5000 0.5000  2 H 1.94
Pd: 0.6614 0.8307 0.7796  1 H 2.13
Pd: 0.8307 0.1693 0.2204  1 H 2.13
Pd: 0.8307 0.6614 0.2204  1 H 2.13
Pb: 0.0000 0.0000 0.5000  12 Pd 2.85-2.93
Pb: 0.3333 0.6667 0.1195  6 Pd 2.98
Pb: 0.6667 0.3333 0.8805  6 Pd 2.98

total moment = 0.0000 μB per atom
energy = -4.733 eV per atom
crystal system = trigonal

---

Entry 8:
Density functional theory data (GGA-PBE) for BaRe2HgN after structural relaxation.

a b c (Å): 6.3621 6.3621 4.5473
angles (deg): 90.00 90.00 90.00
Last column: nearest neighbours and their distance in Å.
Positions (direct):
Ba: 0.0000 0.0000 0.0000  2 N 2.27
Re: 0.0000 0.5000 0.0000  2 Ba 3.18
Re: 0.5000 0.0000 0.0000  2 Ba 3.18
Hg: 0.5000 0.5000 0.5000  8 Re 3.91
N: 0.0000 0.0000 0.5000  2 Ba 2.27

total moment = 1.9929 μB per atom
energy = -3.879 eV per atom
uncorrected formation energy = 3.2098 eV per atom
crystal system = tetragonal

---

Entry 9:
Density functional theory data (GGA-PBE) for Ba2PW after structural relaxation.

a b c (Å): 8.7598 8.7598 8.7598
angles (deg): 94.00 94.00 149.35
Last column: nearest neighbours and their distance in Å.
Positions (direct):
Ba: 0.3750 0.2010 0.3260  2 P 3.18
Ba: 0.7990 0.1250 0.1740  2 P 3.18
Ba: 0.8750 0.0490 0.6740  2 P 3.18
Ba: 0.9510 0.6250 0.8260  2 P 3.18
P: 0.0000 0.0000 0.0000  2 W 2.32
P: 0.7500 0.2500 0.5000  2 W 2.32
W: 0.2500 0.7500 0.5000  2 P 2.32
W: 0.5000 0.5000 0.0000  2 P 2.32

total moment = 0.4489 μB per atom
energy = -5.261 eV per atom
calculated formation energy = 0.29 eV/atom
crystal system = tetragonal

---

Entry 10:
Density functional theory data (GGA-PBE) for La3VSi after structural relaxation.

a b c (Å): 5.2159 5.2159 5.2159
angles (deg): 90.00 90.00 90.00
Last column: nearest neighbours and their distance in Å.
Positions (direct):
La: 0.0000 0.0000 0.5000  2 V 2.61
La: 0.0000 0.5000 0.0000  2 V 2.61
La: 0.5000 0.0000 0.0000  2 V 2.61
V: 0.0000 0.0000 0.0000  6 La 2.61
Si: 0.5000 0.5000 0.5000  12 La 3.69

total moment = 0.0000 μB per atom
energy = -5.578 eV per atom
uncorrected formation energy = 0.2869 eV per atom
crystal system = cubic

---

Entry 11:
Density functional theory data (GGA-PBE) for TlCdPb4 after structural relaxation.

a b c (Å): 6.5504 6.5504 6.5504
angles (deg): 60.00 60.00 60.00
Last column: nearest neighbours and their distance in Å.
Positions (direct):
Tl: 0.0000 0.0000 0.0000  12 Pb 3.84, 4 Cd 4.01
Cd: 0.7500 0.7500 0.7500  12 Pb 3.84, 4 Tl 4.01
Pb: 0.3750 0.3750 0.3750  6 Pb 3.27-3.28
Pb: 0.3750 0.3750 0.8751  6 Pb 3.27-3.28
Pb: 0.3750 0.8751 0.3750  6 Pb 3.27-3.28
Pb: 0.8751 0.3750 0.3750  6 Pb 3.27-3.28

total moment = 0.0000 μB per atom
energy = -2.879 eV per atom
calculated formation energy = 0.14 eV/atom
crystal system = cubic

---

Entry 12:
Density functional theory data (GGA-PBE) for PmPaCo2Si2 after structural relaxation.

a b c (Å): 3.9431 3.9431 8.1534
angles (deg): 90.00 90.00 120.00
Last column: nearest neighbours and their distance in Å.
Positions (direct):
Pm: 0.0000 0.0000 0.0000  6 Si 3.05, 6 Co 3.28
Pa: 0.0000 0.0000 0.5000  6 Co 2.85, 6 Si 3.06
Co: 0.3333 0.6667 0.2890  3 Si 2.30
Co: 0.6667 0.3333 0.7110  3 Si 2.30
Si: 0.3333 0.6667 0.7514  3 Co 2.30
Si: 0.6667 0.3333 0.2486  3 Co 2.30

total moment = 0.0001 μB per atom
energy = -7.206 eV per atom
uncorrected formation energy = -0.6549 eV per atom
crystal system = trigonal